1.
An optimized crystal structure of MgCu2Ag, computed with PBE.

a = 4.4045 Å, b = 4.4045 Å, c = 4.4045 Å
α = 60.00°, β = 60.00°, γ = 60.00°
Last column: nearest neighbours and their distance in Å.
Element x y z (fractional)
1 Ag 0.5000 0.5000 0.5000  4 Cu 2.70, 4 Mg 2.70
2 Cu 0.0000 0.0000 0.0000  4 Mg 2.70, 4 Cu 2.70
3 Cu 0.2500 0.2500 0.2500  4 Cu 2.70, 4 Ag 2.70
4 Mg 0.7500 0.7500 0.7500  4 Ag 2.70, 4 Cu 2.70

Calculated values
As for the total moment: 0.00 μB per formula unit. The calculation puts the formation energy at -0.03 eV/atom. For the density, the calculation gives 7.13 g/cm3.

2.
An optimized crystal structure of MgCuAg2, computed with PBE.

a = 3.6429 Å, b = 3.0802 Å, c = 6.7127 Å
α = 62.53°, β = 90.00°, γ = 90.00°
Last column: nearest neighbours and their distance in Å.
Element x y z (fractional)
1 Ag 0.0000 0.9881 0.0123  4 Cu 2.77-2.78, 3 Ag 2.83-3.08, 4 Mg 2.85
2 Ag 0.0000 0.5119 0.4877  4 Cu 2.77-2.78, 3 Ag 2.83-3.08, 4 Mg 2.85
3 Cu 0.5000 0.2500 0.2500  8 Ag 2.77-2.78, 2 Mg 2.98, 2 Cu 3.08
4 Mg 0.5000 0.7500 0.7500  8 Ag 2.85, 2 Cu 2.98, 2 Mg 3.08

Calculated values
As for the total moment: 0.00 μB per formula unit. The calculation puts the formation energy at -0.06 eV/atom. For the density, the calculation gives 7.54 g/cm3.

3.
An optimized crystal structure of MgCu2Ag, computed with PBE.

a = 3.5883 Å, b = 2.9863 Å, c = 6.4414 Å
α = 61.81°, β = 90.00°, γ = 90.00°
Last column: nearest neighbours and their distance in Å.
Element x y z (fractional)
1 Ag 0.5000 0.7500 0.7500  8 Cu 2.72-2.74, 2 Mg 2.84, 2 Ag 2.99
2 Cu 0.0000 0.0000 0.0006  4 Mg 2.72-2.74, 4 Ag 2.72-2.74, 4 Cu 2.83-2.99
3 Cu 0.0000 0.5000 0.4994  4 Mg 2.72-2.74, 4 Ag 2.72-2.74, 4 Cu 2.83-2.99
4 Mg 0.5000 0.2500 0.2500  8 Cu 2.72-2.74, 2 Ag 2.84, 2 Mg 2.99

Calculated values
As for the total moment: 0.00 μB per formula unit. The calculation puts the formation energy at -0.01 eV/atom. For the density, the calculation gives 7.08 g/cm3.

4.
An optimized crystal structure of Mg2CuAg6, computed with PBE.

a = 2.9367 Å, b = 7.6988 Å, c = 8.2131 Å
α = 117.95°, β = 89.95°, γ = 90.00°
Last column: nearest neighbours and their distance in Å.
Element x y z (fractional)
1 Mg 0.5008 0.6879 0.3758  10 Ag 2.88-3.09, 2 Mg 2.94
2 Mg 0.4992 0.3121 0.6242  10 Ag 2.88-3.09, 2 Mg 2.94
3 Cu 0.0000 0.0000 0.0000  8 Ag 2.70-2.81, 2 Cu 2.94
4 Ag 0.0000 0.3418 0.3179  1 Cu 2.70, 6 Ag 2.81-2.94, 4 Mg 2.88-3.01
5 Ag 0.0000 0.0238 0.6821  1 Cu 2.70, 6 Ag 2.81-2.94, 4 Mg 2.88-3.01
6 Ag 0.0000 0.6582 0.6821  1 Cu 2.70, 6 Ag 2.81-2.94, 4 Mg 2.88-3.01
7 Ag 0.5000 0.3115 0.0000  2 Cu 2.81, 7 Ag 2.90-2.94, 2 Mg 3.09
8 Ag 0.0000 0.9762 0.3179  1 Cu 2.70, 6 Ag 2.81-2.94, 4 Mg 2.88-3.01
9 Ag 0.5000 0.6885 0.0000  2 Cu 2.81, 7 Ag 2.90-2.94, 2 Mg 3.09

Calculated values
As for the total moment: 0.00 μB per formula unit. The calculation puts the formation energy at 0.00 eV/atom. For the density, the calculation gives 7.69 g/cm3.

5.
An optimized crystal structure of Mg2CuAg2, computed with PBE.

a = 7.4225 Å, b = 7.4225 Å, c = 3.3536 Å
α = 90.00°, β = 90.00°, γ = 90.00°
Last column: nearest neighbours and their distance in Å.
Element x y z (fractional)
1 Mg 0.3499 0.8499 0.0000  6 Ag 2.70-2.78, 2 Cu 2.83
2 Mg 0.8499 0.6501 0.0000  6 Ag 2.70-2.78, 2 Cu 2.83
3 Mg 0.6501 0.1501 0.0000  6 Ag 2.70-2.78, 2 Cu 2.83
4 Mg 0.1501 0.3499 0.0000  6 Ag 2.70-2.78, 2 Cu 2.83
5 Cu 0.0000 0.0000 0.0000  4 Mg 2.83
6 Cu 0.5000 0.5000 0.0000  4 Mg 2.83
7 Ag 0.1480 0.6480 0.5000  6 Mg 2.70-2.78
8 Ag 0.6480 0.8520 0.5000  6 Mg 2.70-2.78
9 Ag 0.8520 0.3520 0.5000  6 Mg 2.70-2.78
10 Ag 0.3520 0.1480 0.5000  6 Mg 2.70-2.78

Calculated values
As for the total moment: 0.00 μB per formula unit. The distance to the lowest polymorph of the same formula comes out at 101 meV/atom. The calculation puts the formation energy at 0.08 eV/atom. For the density, the calculation gives 5.89 g/cm3.

6.
An optimized crystal structure of MgCu2Ag, computed with PBE.

a = 3.2060 Å, b = 3.2025 Å, c = 5.9163 Å
α = 90.00°, β = 90.00°, γ = 90.00°
Last column: nearest neighbours and their distance in Å.
Element x y z (fractional)
1 Mg 0.0000 0.0000 0.4821  5 Cu 2.70-2.73, 4 Ag 2.83
2 Cu 0.0000 0.0000 0.0252  4 Cu 2.56, 1 Mg 2.70, 4 Ag 2.73
3 Cu 0.5000 0.5000 0.2253  4 Cu 2.56, 1 Ag 2.71, 4 Mg 2.73
4 Ag 0.5000 0.5000 0.7675  5 Cu 2.71-2.73, 4 Mg 2.83

Calculated values
As for the total moment: 0.00 μB per formula unit. The calculation puts the formation energy at -0.04 eV/atom. For the density, the calculation gives 7.09 g/cm3.

7.
An optimized crystal structure of MgCu2Ag, computed with PBE.

a = 8.8474 Å, b = 8.8474 Å, c = 8.8474 Å
α = 18.68°, β = 18.68°, γ = 18.68°
Last column: nearest neighbours and their distance in Å.
Element x y z (fractional)
1 Ag 0.7500 0.7500 0.7500  6 Cu 2.75, 6 Ag 2.87
2 Cu 0.9992 0.9992 0.9992  3 Mg 2.72, 3 Ag 2.75, 6 Cu 2.87
3 Cu 0.5008 0.5008 0.5008  3 Mg 2.72, 3 Ag 2.75, 6 Cu 2.87
4 Mg 0.2500 0.2500 0.2500  6 Cu 2.72, 6 Mg 2.87

Calculated values
As for the total moment: 0.00 μB per formula unit. The calculation puts the formation energy at 0.10 eV/atom. For the density, the calculation gives 6.94 g/cm3.

8.
An optimized crystal structure of Mg2CuAg, computed with PBE.

a = 3.2912 Å, b = 4.5667 Å, c = 4.5667 Å
α = 90.00°, β = 90.00°, γ = 90.00°
Last column: nearest neighbours and their distance in Å.
Element x y z (fractional)
1 Mg 0.0000 0.0000 0.5000  4 Cu 2.81, 4 Ag 2.81
2 Mg 0.0000 0.5000 0.0000  4 Cu 2.81, 4 Ag 2.81
3 Cu 0.5000 0.5000 0.5000  8 Mg 2.81
4 Ag 0.5000 0.0000 0.0000  8 Mg 2.81

Calculated values
As for the total moment: 0.00 μB per formula unit. The calculation puts the formation energy at -0.15 eV/atom. For the density, the calculation gives 5.32 g/cm3.

9.
An optimized crystal structure of Mg8CuAg2, computed with PBE.

a = 4.7174 Å, b = 6.6917 Å, c = 7.9981 Å
α = 112.52°, β = 107.15°, γ = 90.00°
Last column: nearest neighbours and their distance in Å.
Element x y z (fractional)
1 Mg 0.3934 0.5721 0.7868  1 Cu 2.67, 2 Ag 2.83
2 Mg 0.6600 0.9230 0.3201  1 Cu 2.69, 3 Ag 2.82-3.00
3 Mg 0.8162 0.7542 0.6324  3 Ag 2.86-3.03, 8 Mg 3.02-3.16
4 Mg 0.9813 0.2279 0.9626  1 Ag 2.84, 2 Cu 2.88, 6 Mg 2.99-3.16
5 Mg 0.1838 0.2458 0.3676  3 Ag 2.86-3.03, 8 Mg 3.02-3.16
6 Mg 0.3400 0.0770 0.6799  1 Cu 2.69, 3 Ag 2.82-3.00
7 Mg 0.6066 0.4279 0.2132  1 Cu 2.67, 2 Ag 2.83
8 Mg 0.0187 0.7721 0.0374  1 Ag 2.84, 2 Cu 2.88, 6 Mg 2.99-3.16
9 Cu 0.5000 0.0000 0.0000  8 Mg 2.67-2.88
10 Ag 0.8180 0.3291 0.6360  9 Mg 2.82-3.03
11 Ag 0.1820 0.6709 0.3640  9 Mg 2.82-3.03

Calculated values
As for the total moment: 0.00 μB per formula unit. The calculation puts the formation energy at -0.10 eV/atom. For the density, the calculation gives 3.56 g/cm3.

10.
An optimized crystal structure of MgCuAg6, computed with PBE.

a = 5.4993 Å, b = 5.4993 Å, c = 5.4993 Å
α = 89.39°, β = 89.39°, γ = 89.39°
Last column: nearest neighbours and their distance in Å.
Element x y z (fractional)
1 Mg 0.0000 0.0000 0.0000  6 Ag 2.84
2 Cu 0.5000 0.5000 0.5000  6 Ag 2.57
3 Ag 0.1723 0.5418 0.1723  1 Cu 2.57, 3 Ag 2.74-2.86, 1 Mg 2.84
4 Ag 0.1723 0.1723 0.5418  1 Cu 2.57, 3 Ag 2.74-2.86, 1 Mg 2.84
5 Ag 0.8277 0.4582 0.8277  1 Cu 2.57, 3 Ag 2.74-2.86, 1 Mg 2.84
6 Ag 0.4582 0.8277 0.8277  1 Cu 2.57, 3 Ag 2.74-2.86, 1 Mg 2.84
7 Ag 0.8277 0.8277 0.4582  1 Cu 2.57, 3 Ag 2.74-2.86, 1 Mg 2.84
8 Ag 0.5418 0.1723 0.1723  1 Cu 2.57, 3 Ag 2.74-2.86, 1 Mg 2.84

Calculated values
As for the total moment: 0.00 μB per formula unit. The calculation puts the formation energy at 0.26 eV/atom. For the density, the calculation gives 7.34 g/cm3.

11.
An optimized crystal structure of Mg2CuAg, computed with PBE.

a = 7.3148 Å, b = 7.3148 Å, c = 5.8844 Å
α = 51.57°, β = 51.57°, γ = 90.00°
Last column: nearest neighbours and their distance in Å.
Element x y z (fractional)
1 Mg 0.6056 0.1250 0.2500  2 Cu 2.59, 2 Ag 2.78, 2 Mg 2.82
2 Mg 0.1444 0.6250 0.2500  2 Cu 2.59, 2 Ag 2.78, 2 Mg 2.82
3 Mg 0.3750 0.3944 0.7500  2 Cu 2.59, 2 Ag 2.78, 2 Mg 2.82
4 Mg 0.8750 0.8556 0.7500  2 Cu 2.59, 2 Ag 2.78, 2 Mg 2.82
5 Cu 0.5000 0.5000 0.0000  4 Mg 2.59, 2 Ag 2.81
6 Cu 0.2500 0.7500 0.5000  4 Mg 2.59, 2 Ag 2.81
7 Ag 0.0000 0.0000 0.0000  4 Mg 2.78, 2 Cu 2.81
8 Ag 0.7500 0.2500 0.5000  4 Mg 2.78, 2 Cu 2.81

Calculated values
As for the total moment: 0.00 μB per formula unit. The calculation puts the formation energy at 0.14 eV/atom. For the density, the calculation gives 4.87 g/cm3.

12.
An optimized crystal structure of Mg2Cu2Ag, computed with PBE.

a = 3.4188 Å, b = 3.4188 Å, c = 7.8470 Å
α = 77.42°, β = 77.42°, γ = 90.00°
Last column: nearest neighbours and their distance in Å.
Element x y z (fractional)
1 Mg 0.3931 0.3931 0.2138  4 Cu 2.74, 4 Ag 2.90
2 Mg 0.6069 0.6069 0.7862  4 Cu 2.74, 4 Ag 2.90
3 Cu 0.7500 0.2500 0.5000  4 Cu 2.42
4 Cu 0.2500 0.7500 0.5000  4 Cu 2.42
5 Ag 0.0000 0.0000 0.0000  8 Mg 2.90

Calculated values
As for the total moment: 0.00 μB per formula unit. The distance to the lowest polymorph of the same formula comes out at 70 meV/atom. The calculation puts the formation energy at 0.00 eV/atom. For the density, the calculation gives 5.40 g/cm3.

13.
An optimized crystal structure of MgCuAg2, computed with PBE.

a = 2.9642 Å, b = 2.9642 Å, c = 9.0675 Å
α = 81.13°, β = 81.13°, γ = 60.50°
Last column: nearest neighbours and their distance in Å.
Element x y z (fractional)
1 Mg 0.5023 0.5023 0.5000  6 Ag 2.89-2.92, 6 Mg 2.96-2.99
2 Cu 0.6663 0.6663 0.9999  6 Ag 2.72-2.74, 6 Cu 2.96-2.99
3 Ag 0.0778 0.0778 0.7625  3 Cu 2.72-2.73, 3 Mg 2.89-2.92, 6 Ag 2.96-2.99
4 Ag 0.2535 0.2535 0.2376  3 Cu 2.72-2.74, 3 Mg 2.89-2.91, 6 Ag 2.96-2.99

Calculated values
As for the total moment: 0.00 μB per formula unit. The calculation puts the formation energy at 0.04 eV/atom. For the density, the calculation gives 7.39 g/cm3.

14.
An optimized crystal structure of Mg2CuAg, computed with PBE.

a = 3.2871 Å, b = 3.1257 Å, c = 7.3496 Å
α = 65.17°, β = 90.00°, γ = 90.00°
Last column: nearest neighbours and their distance in Å.
Element x y z (fractional)
1 Mg 0.0000 0.0166 0.9831  4 Cu 2.74-2.76, 4 Ag 2.88-2.89
2 Mg 0.0000 0.4834 0.5169  4 Cu 2.74-2.76, 4 Ag 2.88-2.89
3 Cu 0.5000 0.7500 0.7500  8 Mg 2.74-2.76
4 Ag 0.5000 0.2500 0.2500  8 Mg 2.88-2.89, 2 Ag 3.13

Calculated values
As for the total moment: 0.00 μB per formula unit. The calculation puts the formation energy at -0.16 eV/atom. For the density, the calculation gives 5.33 g/cm3.